Entry 1:
A plane-wave DFT calculation with PBE-GGA was carried out for a relaxed structure of FePd2Cl.

Lattice parameters (Å, degrees): 7.055 7.055 5.684 51.64 51.64 90.00
Last column: magnetic moment on the atom in μB.
Element x y z (fractional)
Fe: 0.000 0.000 0.000  3.29
Fe: 0.750 0.250 0.500  3.29
Pd: 0.637 0.125 0.250  0.28
Pd: 0.113 0.625 0.250  0.29
Pd: 0.375 0.363 0.750  0.28
Pd: 0.875 0.887 0.750  0.28
Cl: 0.500 0.500 0.000  0.04
Cl: 0.250 0.750 0.500  0.04

Values from the calculation:
VASP energy ... -19.3 eV per formula unit
Theoretical density ... 7.4 g/cm³
Energy relative to the lowest polymorph listed for this composition ... 0.0 kJ per mole of atoms
Energy relative to the elements, uncorrected ... 0.34 eV/atom
Symmetry ... I-42d, No. 122

---

Entry 2:
A plane-wave DFT calculation with PBE-GGA was carried out for a relaxed structure of Fe3PdCl.

Lattice parameters (Å, degrees): 4.140 4.140 4.140 90.00 90.00 90.00
Last column: magnetic moment on the atom in μB.
Element x y z (fractional)
Fe: 0.000 0.500 0.000  2.27
Fe: 0.000 0.000 0.500  2.08
Fe: 0.500 0.000 0.000  2.53
Pd: 0.500 0.500 0.500  0.26
Cl: 0.000 0.000 0.000  0.03

Values from the calculation:
VASP energy ... -29.2 eV per formula unit
Theoretical density ... 7.2 g/cm³
Energy relative to the lowest polymorph listed for this composition ... 0.0 kJ per mole of atoms
Energy relative to the elements, uncorrected ... 0.64 eV/atom
Symmetry ... Pm-3m, No. 221

---

Entry 3:
A plane-wave DFT calculation with PBE-GGA was carried out for a relaxed structure of FePd2Cl8.

Lattice parameters (Å, degrees): 7.499 6.751 7.778 98.77 90.00 123.74
Last column: magnetic moment on the atom in μB.
Element x y z (fractional)
Fe: 0.000 0.000 0.000  2.77
Pd: 0.882 0.763 0.613  0.26
Pd: 0.118 0.237 0.387  0.26
Cl: 0.918 0.251 0.128  0.09
Cl: 0.333 0.251 0.128  0.09
Cl: 0.082 0.749 0.872  0.09
Cl: 0.322 0.644 0.474  0.03
Cl: 0.667 0.749 0.872  0.09
Cl: 0.903 0.805 0.312  0.05
Cl: 0.097 0.195 0.688  0.05
Cl: 0.678 0.356 0.526  0.03

Values from the calculation:
VASP energy ... -37.6 eV per formula unit
Theoretical density ... 2.8 g/cm³
Energy relative to the elements, uncorrected ... -0.36 eV/atom
Symmetry ... C2/m, No. 12

---

Entry 4:
A plane-wave DFT calculation with PBE-GGA was carried out for a relaxed structure of FePdCl6.

Lattice parameters (Å, degrees): 6.113 6.113 6.503 61.97 61.97 60.01
Last column: magnetic moment on the atom in μB.
Element x y z (fractional)
Fe: 0.500 0.500 0.500  3.50
Pd: 0.000 0.000 0.000  -0.17
Cl: 0.107 0.398 0.747  0.07
Cl: 0.748 0.107 0.747  0.07
Cl: 0.602 0.252 0.253  0.07
Cl: 0.252 0.893 0.253  0.07
Cl: 0.893 0.602 0.253  0.07
Cl: 0.398 0.748 0.747  0.07

Values from the calculation:
VASP energy ... -28.6 eV per formula unit
Theoretical density ... 3.5 g/cm³
Energy relative to the lowest polymorph listed for this composition ... 3.5 kJ per mole of atoms
Energy relative to the elements, uncorrected ... -0.48 eV/atom
Symmetry ... R-3, No. 148

---

Entry 5:
A plane-wave DFT calculation with PBE-GGA was carried out for a relaxed structure of FePdCl6.

Lattice parameters (Å, degrees): 6.069 6.690 6.077 81.38 70.70 63.03
Last column: magnetic moment on the atom in μB.
Element x y z (fractional)
Fe: 0.000 0.000 0.000  3.51
Pd: 0.500 0.000 0.500  -0.24
Cl: 0.226 0.000 0.227  0.10
Cl: 0.124 0.272 0.741  0.07
Cl: 0.774 0.000 0.773  0.10
Cl: 0.604 0.272 0.259  0.07
Cl: 0.876 0.728 0.259  0.07
Cl: 0.396 0.728 0.741  0.07

Values from the calculation:
VASP energy ... -28.9 eV per formula unit
Theoretical density ... 3.0 g/cm³
Energy relative to the lowest polymorph listed for this composition ... 0.0 kJ per mole of atoms
Energy relative to the elements, uncorrected ... -0.52 eV/atom
Symmetry ... C2/m, No. 12

---

Entry 6:
A plane-wave DFT calculation with PBE-GGA was carried out for a relaxed structure of FePdCl2.

Lattice parameters (Å, degrees): 5.662 5.662 6.278 63.20 63.20 90.00
Element x y z (fractional)
Fe: 0.500 0.500 0.000
Fe: 0.250 0.750 0.500
Pd: 0.000 0.000 0.000
Pd: 0.750 0.250 0.500
Cl: 0.573 0.125 0.250
Cl: 0.177 0.625 0.250
Cl: 0.375 0.427 0.750
Cl: 0.875 0.823 0.750

Values from the calculation:
VASP energy ... -16.4 eV per formula unit
Theoretical density ... 5.0 g/cm³
Energy relative to the lowest polymorph listed for this composition ... 19.6 kJ per mole of atoms
Energy relative to the elements, uncorrected ... 0.24 eV/atom
Symmetry ... I-42d, No. 122

---

Entry 7:
A plane-wave DFT calculation with PBE-GGA was carried out for a relaxed structure of FePd3Cl.

Lattice parameters (Å, degrees): 4.689 4.689 4.689 90.00 90.00 90.00
Last column: magnetic moment on the atom in μB.
Element x y z (fractional)
Fe: 0.000 0.000 0.000  3.17
Pd: 0.000 0.500 0.000  0.39
Pd: 0.000 0.000 0.500  0.68
Pd: 0.500 0.000 0.000  0.18
Cl: 0.500 0.500 0.500  0.07

Values from the calculation:
VASP energy ... -22.1 eV per formula unit
Theoretical density ... 6.6 g/cm³
Energy relative to the lowest polymorph listed for this composition ... 1.4 kJ per mole of atoms
Energy relative to the elements, uncorrected ... 0.76 eV/atom
Symmetry ... Pm-3m, No. 221

---

Entry 8:
A plane-wave DFT calculation with PBE-GGA was carried out for a relaxed structure of Fe3PdCl.

Lattice parameters (Å, degrees): 4.746 4.746 4.746 90.00 90.00 90.00
Last column: magnetic moment on the atom in μB.
Element x y z (fractional)
Fe: 0.000 0.500 0.000  3.34
Fe: 0.000 0.000 0.500  3.66
Fe: 0.500 0.000 0.000  2.79
Pd: 0.000 0.000 0.000  0.41
Cl: 0.500 0.500 0.500  0.10

Values from the calculation:
VASP energy ... -26.9 eV per formula unit
Theoretical density ... 4.8 g/cm³
Energy relative to the lowest polymorph listed for this composition ... 44.5 kJ per mole of atoms
Energy relative to the elements, uncorrected ... 1.11 eV/atom
Symmetry ... Pm-3m, No. 221

---

Entry 9:
A plane-wave DFT calculation with PBE-GGA was carried out for a relaxed structure of FePd2Cl.

Lattice parameters (Å, degrees): 4.475 4.475 4.475 60.00 60.00 60.00
Last column: magnetic moment on the atom in μB.
Element x y z (fractional)
Fe: 0.500 0.500 0.500  3.35
Pd: 0.250 0.250 0.250  0.33
Pd: 0.750 0.750 0.750  0.33
Cl: 0.000 0.000 0.000  0.08

Values from the calculation:
VASP energy ... -19.3 eV per formula unit
Theoretical density ... 8.0 g/cm³
Energy relative to the lowest polymorph listed for this composition ... 1.4 kJ per mole of atoms
Energy relative to the elements, uncorrected ... 0.36 eV/atom
Symmetry ... Fm-3m, No. 225

---

Entry 10:
A plane-wave DFT calculation with PBE-GGA was carried out for a relaxed structure of Fe3PdCl9.

Lattice parameters (Å, degrees): 9.440 9.098 10.865 77.65 82.74 65.16
Last column: magnetic moment on the atom in μB.
Element x y z (fractional)
Fe: 0.850 0.557 0.626  3.51
Fe: 0.923 0.091 0.162  3.61
Fe: 0.056 0.885 0.852  3.60
Fe: 0.171 0.467 0.339  3.51
Fe: 0.687 0.225 0.662  3.60
Fe: 0.379 0.785 0.281  3.61
Pd: 0.984 0.489 0.997  -0.16
Pd: 0.443 0.991 0.524  -0.15
Cl: 0.240 0.196 0.393  0.10
Cl: 0.156 0.610 0.893  0.11
Cl: 0.583 0.330 0.827  0.24
Cl: 0.352 0.794 0.487  0.10
Cl: 0.232 0.982 0.810  0.23
Cl: 0.996 0.566 0.192  0.11
Cl: 0.592 0.797 0.195  0.25
Cl: 0.505 0.206 0.562  0.12
Cl: 0.829 0.013 0.341  0.24
Cl: 0.959 0.408 0.807  0.10
Cl: 0.638 0.780 0.661  0.10
Cl: 0.815 0.365 0.104  0.11
Cl: 0.379 0.534 0.262  0.17
Cl: 0.894 0.969 0.684  0.18
Cl: 0.787 0.397 0.524  0.17
Cl: 0.191 0.992 0.153  0.18
Cl: 0.870 0.981 0.010  0.19
Cl: 0.053 0.604 0.505  0.16

Values from the calculation:
VASP energy ... -55.7 eV per formula unit
Theoretical density ... 2.4 g/cm³
Energy relative to the elements, uncorrected ... -0.65 eV/atom
Symmetry ... P1, No. 1

---

Entry 11:
A plane-wave DFT calculation with PBE-GGA was carried out for a relaxed structure of FePdCl2.

Lattice parameters (Å, degrees): 7.524 7.524 7.524 25.43 25.43 25.43
Element x y z (fractional)
Fe: 0.500 0.500 0.500
Pd: 0.000 0.000 0.000
Cl: 0.891 0.891 0.891
Cl: 0.109 0.109 0.109

Values from the calculation:
VASP energy ... -17.2 eV per formula unit
Theoretical density ... 5.6 g/cm³
Energy relative to the lowest polymorph listed for this composition ... 0.0 kJ per mole of atoms
Energy relative to the elements, uncorrected ... 0.04 eV/atom
Symmetry ... R-3m, No. 166

---

The lowest theoretical density belongs to which entry? Fe3PdCl9